1.
SrCa2Mg | GGA-PBEsol | optimized geometry

The structure in POSCAR format:
```
SrCa2Mg
1.0
4.2983 0.0000 0.0000
0.0000 6.0119 0.0000
-2.1491 -3.0060 5.8944
Mg Ca Sr
1 2 1
direct
0.4924 0.4924 0.9848
0.0047 0.0047 0.0095
0.7727 0.2727 0.5454
0.2302 0.7302 0.4604
```

Computed properties:
space group	Imm2
energy of formation	1.7	kJ per mole of atoms
total energy	-1.938	eV per atom

=====

2.
CsDyO2 | GGA-PBEsol | optimized geometry

The structure in POSCAR format:
```
CsDyO2
1.0
-0.8259 0.6852 3.3355
3.3003 -0.8063 -0.8575
2.6668 13.0673 -2.0240
O Cs Dy
4 2 2
direct
0.6667 0.3333 0.9170
0.3333 0.6667 0.4170
0.3333 0.6667 0.0830
0.6667 0.3333 0.5830
0.6667 0.3333 0.2500
0.3333 0.6667 0.7500
0.0000 0.0000 0.0000
0.0000 0.0000 0.5000
```

Computed properties:
space group	P6_3/mmc
formation energy without anion corrections	-2.707	eV/atom
total energy	-6.812	eV per atom

=====

3.
Y2CoNi | GGA-PBEsol | optimized geometry

The structure in POSCAR format:
```
Y2CoNi
1.0
-2.5548 -2.0770 0.2004
0.4750 -0.8907 -3.1405
4.1046 -4.8559 1.9981
Y Ni Co
2 1 1
direct
0.0000 0.0000 0.7462
0.0000 0.0000 0.2538
0.5000 0.5000 0.0000
0.5000 0.5000 0.5000
```

Computed properties:
space group	P4/mmm
energy of formation	-23.1	kJ per mole of atoms
total energy	-7.124	eV per atom